The following is a PBE-GGA calculation of Tb2Y8Th3 after structural relaxation, from Alexandria via LeMat-Bulk.

a b c (Å): 11.978 11.978 5.662
angles (deg): 103.63 103.63 33.06
Element x y z (fractional)
Tb: 0.224 0.224 0.224
Tb: 0.776 0.776 0.776
Y: 0.075 0.075 0.076
Y: 0.089 0.611 0.349
Y: 0.316 0.316 0.816
Y: 0.389 0.911 0.651
Y: 0.611 0.089 0.349
Y: 0.684 0.684 0.184
Y: 0.911 0.389 0.651
Y: 0.925 0.925 0.924
Th: 0.232 0.768 0.500
Th: 0.500 0.500 0.000
Th: 0.768 0.232 0.500

Output
Its calculated total energy is -81.126 eV for the cell shown. As for the energy above the most stable polymorph in this dataset: 0.000 eV per atom. For the formation energy from the elements, the calculation gives 2.107 eV per formula unit.